Record 1
The following is a DFT calculation (GGA-PBEsol) of a relaxed Hf2Mn crystal.

a = 11.832 Å, b = 11.832 Å, c = 11.832 Å
α = 90.00°, β = 90.00°, γ = 90.00°
Space group Fd-3m (No. 227, origin choice 2)
One atom of each set of equivalent atoms:
Hf: 0.000 0.000 0.000 [16 per cell]
Hf: 0.064 0.375 0.875 [48 per cell]
Mn: 0.040 0.040 0.210 [32 per cell]

- Energy relative to the elements: -0.10 eV/atom

=====

Record 2
The following is a DFT calculation (GGA-PBEsol) of a relaxed HfMnMo3 crystal.

a = 4.433 Å, b = 4.433 Å, c = 4.433 Å
α = 90.00°, β = 90.00°, γ = 90.00°
Space group Pm-3m (No. 221)
One atom of each set of equivalent atoms:
Hf: 0.000 0.000 0.000 [1 per cell]
Mn: 0.500 0.500 0.500 [1 per cell]
Mo: 0.000 0.500 0.500 [3 per cell]

- Energy relative to the elements: 0.82 eV/atom

=====

Record 3
The following is a DFT calculation (GGA-PBEsol) of a relaxed Hf2MnNb crystal.

a = 6.502 Å, b = 6.502 Å, c = 6.502 Å
α = 90.00°, β = 90.00°, γ = 90.00°
Space group Fm-3m (No. 225)
One atom of each set of equivalent atoms:
Hf: 0.250 0.250 0.250 [8 per cell]
Mn: 0.000 0.000 0.000 [4 per cell]
Nb: 0.000 0.000 0.500 [4 per cell]

- Energy relative to the elements: 0.12 eV/atom

=====

Record 4
The following is a DFT calculation (GGA-PBEsol) of a relaxed HfMn2NiSn crystal.

a = 4.753 Å, b = 4.753 Å, c = 5.271 Å
α = 90.00°, β = 90.00°, γ = 90.00°
Space group P4/mmm (No. 123)
One atom of each set of equivalent atoms:
Hf: 0.000 0.000 0.000 [1 per cell]
Mn: 0.000 0.500 0.500 [2 per cell]
Ni: 0.500 0.500 0.000 [1 per cell]
Sn: 0.000 0.000 0.500 [1 per cell]

- Energy relative to the elements: 1.66 eV/atom

=====

Record 5
The following is a DFT calculation (GGA-PBEsol) of a relaxed HfMnO3 crystal.

a = 5.502 Å, b = 7.805 Å, c = 5.328 Å
α = 90.00°, β = 90.00°, γ = 90.00°
Space group Pnma (No. 62)
One atom of each set of equivalent atoms:
Hf: 0.000 0.000 0.000 [4 per cell]
Mn: 0.041 0.250 0.496 [4 per cell]
O: 0.068 0.750 0.126 [4 per cell]
O: 0.180 0.568 0.674 [8 per cell]

- Uncorrected formation energy: -2575 meV/atom

=====

Record 6
The following is a DFT calculation (GGA-PBEsol) of a relaxed HfMnO2 crystal.

a = 4.700 Å, b = 4.700 Å, c = 9.800 Å
α = 90.00°, β = 90.00°, γ = 90.00°
Space group I-42d (No. 122)
One atom of each set of equivalent atoms:
Hf: 0.000 0.000 0.000 [4 per cell]
Mn: 0.000 0.000 0.500 [4 per cell]
O: 0.235 0.250 0.125 [8 per cell]

- Uncorrected formation energy: -1822 meV/atom

=====

Record 7
The following is a DFT calculation (GGA-PBEsol) of a relaxed Hf2MnOs crystal.

a = 6.350 Å, b = 6.350 Å, c = 6.350 Å
α = 90.00°, β = 90.00°, γ = 90.00°
Space group Fm-3m (No. 225)
One atom of each set of equivalent atoms:
Hf: 0.250 0.250 0.250 [8 per cell]
Mn: 0.000 0.000 0.000 [4 per cell]
Os: 0.000 0.000 0.500 [4 per cell]

- Energy relative to the elements: -0.43 eV/atom

=====

Record 8
The following is a DFT calculation (GGA-PBEsol) of a relaxed HfMn3P crystal.

a = 4.099 Å, b = 4.099 Å, c = 4.099 Å
α = 90.00°, β = 90.00°, γ = 90.00°
Space group Pm-3m (No. 221)
One atom of each set of equivalent atoms:
Hf: 0.000 0.000 0.000 [1 per cell]
Mn: 0.000 0.500 0.500 [3 per cell]
P: 0.500 0.500 0.500 [1 per cell]

- Energy relative to the elements: 0.00 eV/atom
- E above lowest polymorph: 0 meV per atom